## KV4Cu3O12 (PBE with a Hubbard U)

Data for KV4Cu3O12 after structural relaxation.

a b c (Å): 7.3836 7.3836 7.3836
angles (deg): 90.00 90.00 90.00
Space group Im-3 (No. 204)
One atom of each set of equivalent atoms:
K  0.0000  0.0000  0.0000 [2 per cell]
V  0.2500  0.2500  0.2500 [8 per cell]
Cu  0.0000  0.0000  0.5000 [6 per cell]
O  0.0000  0.3070  0.1866 [24 per cell]

* energy: -6.59 eV per atom
* N(E_F): 21.38 states/eV/cell
* magnetization: 0.06 μB per atom